# 1
# Ce2PmAs3, optimized geometry, DFT PBE
data_Ce2PmAs3
_cell_length_a 4.225
_cell_length_b 5.975
_cell_length_c 12.674
_cell_angle_alpha 90.00
_cell_angle_beta 90.00
_cell_angle_gamma 90.00
_space_group_name_H-M_alt 'I m m m'
_space_group_IT_number 71
_space_group_name_Hall '-I 2 2'
loop_
_atom_site_label
_atom_site_type_symbol
_atom_site_fract_x
_atom_site_fract_y
_atom_site_fract_z
_atom_site_occupancy
Ce1 Ce 0.000 0.000 0.166 1
Pm1 Pm 0.000 0.000 0.500 1
As1 As 0.000 0.500 0.169 1
As2 As 0.000 0.500 0.500 1
# * density: 6.7 Mg/m³
# * crystal system: orthorhombic
# * VASP energy: -0.24094 Ha/atom
# * D(E_F): 1.84 states/eV per atom

=====

# 2
# CePmAs, optimized geometry, DFT PBE
data_CePmAs
_cell_length_a 4.195
_cell_length_b 4.195
_cell_length_c 8.660
_cell_angle_alpha 90.00
_cell_angle_beta 90.00
_cell_angle_gamma 90.00
_space_group_name_H-M_alt 'P 4/n m m'
_space_group_IT_number 129
loop_
_space_group_symop_operation_xyz
'x,y,z'
'-x,-y,-z'
'-y+1/2,x,z'
'y+1/2,-x,-z'
'-x+1/2,-y+1/2,z'
'x+1/2,y+1/2,-z'
'y,-x+1/2,z'
'-y,x+1/2,-z'
'x+1/2,-y,-z'
'-x+1/2,y,z'
'-y,-x,-z'
'y,x,z'
'-x,y+1/2,-z'
'x,-y+1/2,z'
'y+1/2,x+1/2,-z'
'-y+1/2,-x+1/2,z'
loop_
_atom_site_label
_atom_site_type_symbol
_atom_site_fract_x
_atom_site_fract_y
_atom_site_fract_z
_atom_site_occupancy
Ce1 Ce 0.250 0.750 0.000 1
Pm1 Pm 0.250 0.250 0.363 1
As1 As 0.250 0.250 0.721 1
# * density: 7.8 Mg/m³
# * ΔE to the lowest computed polymorph: 0.0000 eV/atom
# * crystal system: tetragonal
# * D(E_F): 1.90 states/eV per atom

=====

# 3
# CePm3As4, optimized geometry, DFT PBE
data_CePm3As4
_cell_length_a 8.467
_cell_length_b 11.961
_cell_length_c 4.231
_cell_angle_alpha 90.00
_cell_angle_beta 90.00
_cell_angle_gamma 90.00
_space_group_name_H-M_alt 'C m m m'
_space_group_IT_number 65
_space_group_name_Hall '-C 2 2'
loop_
_atom_site_label
_atom_site_type_symbol
_atom_site_fract_x
_atom_site_fract_y
_atom_site_fract_z
_atom_site_occupancy
Ce1 Ce 0.000 0.000 0.000 1
Pm1 Pm 0.000 0.500 0.000 1
Pm2 Pm 0.250 0.250 0.500 1
As1 As 0.000 0.248 0.000 1
As2 As 0.247 0.000 0.500 1
# * density: 6.8 Mg/m³
# * ΔE to the lowest computed polymorph: 0.0000 eV/atom
# * crystal system: orthorhombic
# * D(E_F): 0.78 states/eV per atom

=====

# 4
# CePmAs, optimized geometry, DFT PBE
data_CePmAs
_cell_length_a 3.841
_cell_length_b 22.292
_cell_length_c 3.826
_cell_angle_alpha 90.00
_cell_angle_beta 90.00
_cell_angle_gamma 90.00
_space_group_name_H-M_alt 'C m c m'
_space_group_IT_number 63
_space_group_name_Hall '-C 2c 2'
loop_
_atom_site_label
_atom_site_type_symbol
_atom_site_fract_x
_atom_site_fract_y
_atom_site_fract_z
_atom_site_occupancy
Ce1 Ce 0.000 0.208 0.250 1
Pm1 Pm 0.000 0.069 0.250 1
As1 As 0.000 0.356 0.250 1
# * density: 7.3 Mg/m³
# * ΔE to the lowest computed polymorph: 0.3011 eV/atom
# * crystal system: orthorhombic
# * D(E_F): 2.16 states/eV per atom

=====

# 5
# CePmAs, optimized geometry, DFT PBE
data_CePmAs
_cell_length_a 3.261
_cell_length_b 3.261
_cell_length_c 17.266
_cell_angle_alpha 90.00
_cell_angle_beta 90.00
_cell_angle_gamma 90.00
_space_group_name_H-M_alt 'I 4 m m'
_space_group_IT_number 107
_space_group_name_Hall 'I 4 -2'
loop_
_atom_site_label
_atom_site_type_symbol
_atom_site_fract_x
_atom_site_fract_y
_atom_site_fract_z
_atom_site_occupancy
Ce1 Ce 0.000 0.000 0.000 1
Pm1 Pm 0.000 0.000 0.666 1
As1 As 0.000 0.000 0.834 1
# * density: 6.5 Mg/m³
# * ΔE to the lowest computed polymorph: 1.2048 eV/atom
# * crystal system: tetragonal
# * D(E_F): 2.29 states/eV per atom

=====

# 6
# CePmAs2, optimized geometry, DFT PBE
data_CePmAs2
_cell_length_a 4.2262
_cell_length_b 4.2262
_cell_length_c 20.7008
_cell_angle_alpha 90.00
_cell_angle_beta 90.00
_cell_angle_gamma 120.00
_space_group_name_H-M_alt 'R -3 m'
_space_group_IT_number 166
_space_group_name_Hall '-R 3 2"'
loop_
_atom_site_label
_atom_site_type_symbol
_atom_site_fract_x
_atom_site_fract_y
_atom_site_fract_z
_atom_site_occupancy
Ce1 Ce 0.0000 0.0000 0.0000 1
Pm1 Pm 0.0000 0.0000 0.5000 1
As1 As 0.0000 0.0000 0.2513 1
# * density: 6.8 Mg/m³
# * ΔE to the lowest computed polymorph: 0.0000 eV/atom
# * crystal system: trigonal
# * D(E_F): 1.39 states/eV per atom

=====

# 7
# Ce5PmAs6, optimized geometry, DFT PBE
data_Ce5PmAs6
_cell_length_a 7.313
_cell_length_b 12.665
_cell_length_c 7.313
_cell_angle_alpha 90.00
_cell_angle_beta 109.47
_cell_angle_gamma 90.00
_space_group_name_H-M_alt 'C 1 2/m 1'
_space_group_IT_number 12
_space_group_name_Hall '-C 2y'
loop_
_atom_site_label
_atom_site_type_symbol
_atom_site_fract_x
_atom_site_fract_y
_atom_site_fract_z
_atom_site_occupancy
Ce1 Ce 0.000 0.000 0.000 1
Ce2 Ce 0.000 0.167 0.500 1
Ce3 Ce 0.000 0.334 0.000 1
Pm1 Pm 0.000 0.500 0.500 1
As1 As 0.248 0.000 0.751 1
As2 As 0.249 0.168 0.249 1
# * density: 6.7 Mg/m³
# * crystal system: monoclinic
# * VASP energy: -0.24386 Ha/atom
# * D(E_F): 2.14 states/eV per atom

=====

# 8
# CePmAs2, optimized geometry, DFT PBE
data_CePmAs2
_cell_length_a 7.269
_cell_length_b 7.269
_cell_length_c 7.269
_cell_angle_alpha 90.00
_cell_angle_beta 90.00
_cell_angle_gamma 90.00
_space_group_name_H-M_alt 'F m -3 m'
_space_group_IT_number 225
_space_group_name_Hall '-F 4 2 3'
loop_
_atom_site_label
_atom_site_type_symbol
_atom_site_fract_x
_atom_site_fract_y
_atom_site_fract_z
_atom_site_occupancy
Ce1 Ce 0.000 0.000 0.000 1
Pm1 Pm 0.000 0.000 0.500 1
As1 As 0.250 0.250 0.250 1
# * density: 7.5 Mg/m³
# * ΔE to the lowest computed polymorph: 0.3754 eV/atom
# * crystal system: cubic
# * D(E_F): 1.26 states/eV per atom

=====

# 9
# Ce4PmAs6, optimized geometry, DFT PBE
data_Ce4PmAs6
_cell_length_a 11.5614
_cell_length_b 11.5614
_cell_length_c 14.6013
_cell_angle_alpha 90.00
_cell_angle_beta 90.00
_cell_angle_gamma 120.00
_space_group_name_H-M_alt 'R -3 c'
_space_group_IT_number 167
_space_group_name_Hall '-R 3 2"c'
loop_
_atom_site_label
_atom_site_type_symbol
_atom_site_fract_x
_atom_site_fract_y
_atom_site_fract_z
_atom_site_occupancy
Ce1 Ce 0.0000 0.0000 0.2500 1
Ce2 Ce 0.0000 0.3838 0.2500 1
Pm1 Pm 0.0000 0.0000 0.0000 1
As1 As 0.0303 0.2125 0.3846 1
# * density: 6.8 Mg/m³
# * crystal system: trigonal
# * VASP energy: -0.23116 Ha/atom
# * D(E_F): 1.37 states/eV per atom

=====

# 10
# CePmAs2, optimized geometry, DFT PBE
data_CePmAs2
_cell_length_a 4.2116
_cell_length_b 4.2116
_cell_length_c 13.8619
_cell_angle_alpha 90.00
_cell_angle_beta 90.00
_cell_angle_gamma 120.00
_space_group_name_H-M_alt 'P 63/m m c'
_space_group_IT_number 194
_space_group_name_Hall '-P 6c 2c'
loop_
_atom_site_label
_atom_site_type_symbol
_atom_site_fract_x
_atom_site_fract_y
_atom_site_fract_z
_atom_site_occupancy
Ce1 Ce 0.0000 0.0000 0.0000 1
Pm1 Pm 0.3333 0.6667 0.2500 1
As1 As 0.3333 0.6667 0.6210 1
# * density: 6.8 Mg/m³
# * ΔE to the lowest computed polymorph: 0.0436 eV/atom
# * crystal system: hexagonal
# * D(E_F): 1.23 states/eV per atom

=====

# 11
# Ce6PmAs8, optimized geometry, DFT PBE
data_Ce6PmAs8
_cell_length_a 11.874
_cell_length_b 11.874
_cell_length_c 11.874
_cell_angle_alpha 90.00
_cell_angle_beta 90.00
_cell_angle_gamma 90.00
_space_group_name_H-M_alt 'F m -3 m'
_space_group_IT_number 225
_space_group_name_Hall '-F 4 2 3'
loop_
_atom_site_label
_atom_site_type_symbol
_atom_site_fract_x
_atom_site_fract_y
_atom_site_fract_z
_atom_site_occupancy
Ce1 Ce 0.000 0.250 0.250 1
Pm1 Pm 0.000 0.000 0.000 1
As1 As 0.000 0.000 0.251 1
As2 As 0.250 0.250 0.250 1
# * density: 6.3 Mg/m³
# * crystal system: cubic
# * VASP energy: -0.23495 Ha/atom
# * D(E_F): 1.73 states/eV per atom

=====

# 12
# CePm3As4, optimized geometry, DFT PBE
data_CePm3As4
_cell_length_a 5.990
_cell_length_b 5.990
_cell_length_c 5.990
_cell_angle_alpha 90.00
_cell_angle_beta 90.00
_cell_angle_gamma 90.00
_space_group_name_H-M_alt 'P m -3 m'
_space_group_IT_number 221
_space_group_name_Hall '-P 4 2 3'
loop_
_atom_site_label
_atom_site_type_symbol
_atom_site_fract_x
_atom_site_fract_y
_atom_site_fract_z
_atom_site_occupancy
Ce1 Ce 0.000 0.000 0.000 1
Pm1 Pm 0.000 0.500 0.500 1
As1 As 0.000 0.000 0.500 1
As2 As 0.500 0.500 0.500 1
# * density: 6.8 Mg/m³
# * ΔE to the lowest computed polymorph: 0.0044 eV/atom
# * crystal system: cubic
# * D(E_F): 0.86 states/eV per atom

=====

Among the records above, which one has the highest D(E_F)?
number 5

=====

What did the ninth record say?
# Ce4PmAs6, optimized geometry, DFT PBE
data_Ce4PmAs6
_cell_length_a 11.5614
_cell_length_b 11.5614
_cell_length_c 14.6013
_cell_angle_alpha 90.00
_cell_angle_beta 90.00
_cell_angle_gamma 120.00
_space_group_name_H-M_alt 'R -3 c'
_space_group_IT_number 167
_space_group_name_Hall '-R 3 2"c'
loop_
_atom_site_label
_atom_site_type_symbol
_atom_site_fract_x
_atom_site_fract_y
_atom_site_fract_z
_atom_site_occupancy
Ce1 Ce 0.0000 0.0000 0.2500 1
Ce2 Ce 0.0000 0.3838 0.2500 1
Pm1 Pm 0.0000 0.0000 0.0000 1
As1 As 0.0303 0.2125 0.3846 1
# * density: 6.8 Mg/m³
# * crystal system: trigonal
# * VASP energy: -0.23116 Ha/atom
# * D(E_F): 1.37 states/eV per atom

=====

Which value of density does entry 9 give?
6.8 Mg/m³

=====

Which of these has the lowest D(E_F)?
number 3